The following is a GGA+U calculation of CoPb2CO6 after structural relaxation, from the Open Quantum Materials Database.

```
CoPb2CO6
1.0
-2.957 2.957 3.601
2.957 -2.957 3.601
2.957 2.957 -3.601
Co Pb C O
1 2 1 6
Direct
0.000 0.000 0.000
0.250 0.750 0.500
0.750 0.250 0.500
0.500 0.500 0.000
0.214 0.214 0.428
0.214 0.786 0.000
0.337 0.337 0.000
0.663 0.663 0.000
0.786 0.214 0.000
0.786 0.786 0.572
```

Calculated values
SG	I4/mmm
calculated total energy	-5.96	eV per atom